1.
DFT (PBE-GGA) results for a relaxed Sc2AsRh crystal.

Geometry as POSCAR:
```
Sc2AsRh
1.0
-0.5383 2.3715 -1.9968
-2.2929 -1.6693 -1.3629
-5.0768 2.9731 4.8996
Rh As Sc
1 1 2
Cartesian
-5.0929 2.5047 1.8691
-2.6946 1.5781 2.6006
-4.8355 2.8319 4.6667
-2.9000 1.2204 -0.2472
```

Calculated values
- calculated total energy (eV/atom) = -6.65
- volume (Å³/cell) = 76
- N(E_F) (states/eV/cell) = 4.01
- SG = P4mm, No. 99

2.
DFT (PBE-GGA) results for a relaxed ScAsRh3 crystal.

Geometry as POSCAR:
```
ScAsRh3
1.0
4.5362 0.0000 0.0000
0.0000 4.5362 0.0000
0.0000 0.0000 4.5362
Rh As Sc
3 1 1
Cartesian
0.0000 0.0000 2.2681
0.0000 2.2681 0.0000
2.2681 0.0000 0.0000
0.0000 0.0000 0.0000
2.2681 2.2681 2.2681
```

Calculated values
- calculated total energy (eV/atom) = -6.75
- volume (Å³/cell) = 93
- N(E_F) (states/eV/cell) = 8.34
- SG = Pm-3m, No. 221

Number 1: formation energy -46.81 kJ per mole of atoms. Number 2: formation energy -14.14 kJ per mole of atoms.